Cr2ReBI PBE relaxed; V = 99.7 Å³ per cell; E_form (uncorrected) = 1230 meV per atom; spin magnetization = 6.088 Bohr magnetons per cell
1.0
4.893 0.000 0.000
0.000 4.893 0.000
0.000 0.000 4.164
Cr Re B I
2 1 1 1
direct
0.000 0.500 0.000
0.500 0.000 0.000
0.000 0.000 0.000
0.000 0.000 0.500
0.500 0.500 0.500